Record 1
Pm4ErTl2 | PBE | relaxed

Structure (CIF):
```
data_Pm4ErTl2
_chemical_formula_sum 'Pm12 Er3 Tl6'
_cell_length_a 5.5783
_cell_length_b 5.5783
_cell_length_c 26.8334
_cell_angle_alpha 90.00
_cell_angle_beta 90.00
_cell_angle_gamma 120.00
_symmetry_space_group_name_H-M 'R -3 m'
_symmetry_Int_Tables_number 166
_symmetry_space_group_name_Hall '-R 3 2"'
loop_
_atom_site_label
_atom_site_type_symbol
_atom_site_fract_x
_atom_site_fract_y
_atom_site_fract_z
Pm1 Pm 0.0000 0.0000 0.1307
Pm2 Pm 0.0000 0.0000 0.2674
Er1 Er 0.0000 0.0000 0.5000
Tl1 Tl 0.0000 0.0000 0.3858
```

Computed properties:
**Energy of formation**: 0.029 eV per atom
**Excess energy over the best structure of this formula in the dataset**: 0.00 kcal/mol of atoms

***

Record 2
Cd5Cl5O2 | PBE | relaxed

Structure (CIF):
```
data_Cd5Cl5O2
_chemical_formula_sum 'Cd10 Cl10 O4'
_cell_length_a 14.2085
_cell_length_b 4.0553
_cell_length_c 10.5633
_cell_angle_alpha 90.00
_cell_angle_beta 105.07
_cell_angle_gamma 90.00
_symmetry_space_group_name_H-M 'C 1 2/m 1'
_symmetry_Int_Tables_number 12
_symmetry_space_group_name_Hall '-C 2y'
loop_
_atom_site_label
_atom_site_type_symbol
_atom_site_fract_x
_atom_site_fract_y
_atom_site_fract_z
Cd1 Cd 0.0000 0.0000 0.0000
Cd2 Cd 0.0539 0.5000 0.7649
Cd3 Cd 0.1419 0.0000 0.3778
Cl1 Cl 0.0000 0.5000 0.5000
Cl2 Cl 0.1358 0.5000 0.0176
Cl3 Cl 0.2320 0.0000 0.6325
O1 O 0.0105 0.0000 0.2197
```

Computed properties:
**Total DFT energy (no corrections)**: -2.884 eV per atom

***

Record 3
CrSb2TeSe | PBE | relaxed

Structure (CIF):
```
data_CrSb2TeSe
_chemical_formula_sum 'Cr1 Sb2 Te1 Se1'
_cell_length_a 5.0597
_cell_length_b 5.0597
_cell_length_c 4.8948
_cell_angle_alpha 90.00
_cell_angle_beta 90.00
_cell_angle_gamma 90.00
_symmetry_space_group_name_H-M 'P 4/m m m'
_symmetry_Int_Tables_number 123
_symmetry_space_group_name_Hall '-P 4 2'
loop_
_atom_site_label
_atom_site_type_symbol
_atom_site_fract_x
_atom_site_fract_y
_atom_site_fract_z
Cr1 Cr 0.0000 0.0000 0.0000
Sb1 Sb 0.0000 0.5000 0.0000
Te1 Te 0.0000 0.0000 0.5000
Se1 Se 0.5000 0.5000 0.5000
```

Computed properties:
**Excess energy over the best structure of this formula in the dataset**: 4.09 kcal/mol of atoms

***

Record 4
Nb2CdIr2 | PBE | relaxed

Structure (CIF):
```
data_Nb2CdIr2
_chemical_formula_sum 'Nb4 Cd2 Ir4'
_cell_length_a 7.7783
_cell_length_b 7.7783
_cell_length_c 2.9253
_cell_angle_alpha 90.00
_cell_angle_beta 90.00
_cell_angle_gamma 90.00
_symmetry_space_group_name_H-M 'P 4/m b m'
_symmetry_Int_Tables_number 127
_symmetry_space_group_name_Hall '-P 4 2ab'
loop_
_atom_site_label
_atom_site_type_symbol
_atom_site_fract_x
_atom_site_fract_y
_atom_site_fract_z
Nb1 Nb 0.1644 0.3356 0.0000
Cd1 Cd 0.0000 0.0000 0.5000
Ir1 Ir 0.1287 0.6287 0.5000
```

Computed properties:
**Energy of formation**: -0.361 eV per atom
**Excess energy over the best structure of this formula in the dataset**: 0.00 kcal/mol of atoms

***

Record 5
KCuBr2 | PBE | relaxed

Structure (CIF):
```
data_KCuBr2
_chemical_formula_sum 'K1 Cu1 Br2'
_cell_length_a 4.5706
_cell_length_b 4.2167
_cell_length_c 7.1235
_cell_angle_alpha 90.00
_cell_angle_beta 90.32
_cell_angle_gamma 90.00
_symmetry_space_group_name_H-M 'P 1 m 1'
_symmetry_Int_Tables_number 6
_symmetry_space_group_name_Hall 'P -2y'
loop_
_atom_site_label
_atom_site_type_symbol
_atom_site_fract_x
_atom_site_fract_y
_atom_site_fract_z
K1 K 0.0000 0.0000 0.0000
Cu1 Cu 0.4990 0.5000 0.5154
Br1 Br 0.4985 0.5000 0.8500
Br2 Br 0.5018 0.0000 0.3535
```

Computed properties:
**Excess energy over the best structure of this formula in the dataset**: 0.67 kcal/mol of atoms

***

Record 6
KAgI2 | PBE | relaxed

Structure (CIF):
```
data_KAgI2
_chemical_formula_sum 'K4 Ag4 I8'
_cell_length_a 8.6160
_cell_length_b 8.7187
_cell_length_c 9.1157
_cell_angle_alpha 90.00
_cell_angle_beta 97.51
_cell_angle_gamma 90.00
_symmetry_space_group_name_H-M 'P 1 21/c 1'
_symmetry_Int_Tables_number 14
_symmetry_space_group_name_Hall '-P 2ybc'
loop_
_atom_site_label
_atom_site_type_symbol
_atom_site_fract_x
_atom_site_fract_y
_atom_site_fract_z
K1 K 0.1614 0.0503 0.2749
Ag1 Ag 0.3999 0.6862 0.0986
I1 I 0.0844 0.7448 0.5147
I2 I 0.4330 0.1538 0.6585
```

Computed properties:
**Total DFT energy (no corrections)**: -2.614 eV per atom

***

Record 7
Y3Ge2Pt7 | PBE | relaxed

Structure (CIF):
```
data_Y3Ge2Pt7
_chemical_formula_sum 'Y6 Ge4 Pt14'
_cell_length_a 4.1341
_cell_length_b 29.0877
_cell_length_c 4.0244
_cell_angle_alpha 90.00
_cell_angle_beta 90.00
_cell_angle_gamma 90.00
_symmetry_space_group_name_H-M 'C m m m'
_symmetry_Int_Tables_number 65
_symmetry_space_group_name_Hall '-C 2 2'
loop_
_atom_site_label
_atom_site_type_symbol
_atom_site_fract_x
_atom_site_fract_y
_atom_site_fract_z
Y1 Y 0.0000 0.0000 0.0000
Y2 Y 0.0000 0.2036 0.0000
Ge1 Ge 0.0000 0.4166 0.5000
Pt1 Pt 0.0000 0.1323 0.5000
Pt2 Pt 0.0000 0.2876 0.5000
Pt3 Pt 0.0000 0.3665 0.0000
Pt4 Pt 0.0000 0.5000 0.5000
```

Computed properties:
**Energy of formation**: -0.868 eV per atom

***

Record 8
TiRe2Ag | PBE | relaxed

Structure (CIF):
```
data_TiRe2Ag
_chemical_formula_sum 'Ti4 Re8 Ag4'
_cell_length_a 3.8206
_cell_length_b 3.8206
_cell_length_c 19.2392
_cell_angle_alpha 90.00
_cell_angle_beta 90.00
_cell_angle_gamma 90.00
_symmetry_space_group_name_H-M 'I -4 2 d'
_symmetry_Int_Tables_number 122
_symmetry_space_group_name_Hall 'I -4 2bw'
loop_
_atom_site_label
_atom_site_type_symbol
_atom_site_fract_x
_atom_site_fract_y
_atom_site_fract_z
Ti1 Ti 0.0000 0.0000 0.0000
Re1 Re 0.2000 0.2500 0.1250
Ag1 Ag 0.0000 0.0000 0.5000
```

Computed properties:
**Energy of formation**: 0.708 eV per atom
**Excess energy over the best structure of this formula in the dataset**: 3.49 kcal/mol of atoms